This record from OQMD describes an optimized crystal structure of YEr2Mg4Al2. The functional is PBE-GGA.

Its total energy is -3.477 eV per atom. The value obtained for the total magnetization is 0.00 μB/atom.

The structure belongs to space group Amm2 (No. 38); the cell edges are 4.549, 12.938 and 7.431 Å and the angles 90.00°, 90.00° and 90.00°. The distinct sites, in fractional coordinates, are Y at (0.000, 0.000, 0.000), Er at (0.000, 0.219, 0.655), Mg at (0.000, 0.000, 0.439), Mg at (0.500, 0.000, 0.686), Mg at (0.500, 0.125, 0.312) and Al at (0.500, 0.167, 0.936).



This record from OQMD describes an optimized crystal structure of Er3Mg3Al2Zn. The functional is PBE-GGA.

Its total energy is -3.316 eV per atom. The value obtained for the total magnetization is 0.00 μB/atom.

The structure belongs to space group P-62m (No. 189); the cell edges are 7.3411, 7.3411 and 4.3959 Å and the angles 90.00°, 90.00° and 120.00°. The distinct sites, in fractional coordinates, are Er at (0.0000, 0.4208, 0.0000), Mg at (0.0000, 0.7588, 0.5000), Al at (0.3333, 0.6667, 0.5000) and Zn at (0.0000, 0.0000, 0.0000).



This record from OQMD describes an optimized crystal structure of Er3Mg3AlZn2. The functional is PBE-GGA.

Its total energy is -2.983 eV per atom. The value obtained for the total magnetization is 0.00 μB/atom.

The structure belongs to space group P-62m (No. 189); the cell edges are 7.4738, 7.4738 and 4.2155 Å and the angles 90.00°, 90.00° and 120.00°. The distinct sites, in fractional coordinates, are Er at (0.0000, 0.4197, 0.0000), Mg at (0.0000, 0.7505, 0.5000), Al at (0.0000, 0.0000, 0.0000) and Zn at (0.3333, 0.6667, 0.5000).



This record from OQMD describes an optimized crystal structure of ErAlMo. The functional is PBE-GGA.

The energy above the lowest structure with this stoichiometry comes out at 575 meV per atom. The value obtained for the total magnetization is 0.75 μB/atom.

The structure belongs to space group F-43m (No. 216); the cell edges are 6.617, 6.617 and 6.617 Å and the angles 90.00°, 90.00° and 90.00°. The distinct sites, in fractional coordinates, are Er at (0.000, 0.000, 0.000), Al at (0.250, 0.250, 0.750) and Mo at (0.250, 0.250, 0.250).



This record from OQMD describes an optimized crystal structure of ErAlMo. The functional is PBE-GGA.

The energy above the lowest structure with this stoichiometry comes out at 0 meV per atom. The value obtained for the total magnetization is 0.53 μB/atom.

The structure belongs to space group F-43m (No. 216); the cell edges are 6.470, 6.470 and 6.470 Å and the angles 90.00°, 90.00° and 90.00°. The distinct sites, in fractional coordinates, are Er at (0.000, 0.000, 0.000), Al at (0.000, 0.000, 0.500) and Mo at (0.250, 0.250, 0.750).



This record from OQMD describes an optimized crystal structure of Er6Al43Mo4. The functional is PBE-GGA.

Its total energy is -4.684 eV per atom. The value obtained for the total magnetization is 0.00 μB/atom.

The structure belongs to space group P6_3/mcm (No. 193); the cell edges are 10.9821, 10.9821 and 17.6905 Å and the angles 90.00°, 90.00° and 120.00°. The distinct sites, in fractional coordinates, are Er at (0.0000, 0.4686, 0.0953), Al at (0.0000, 0.1475, 0.7500), Al at (0.0000, 0.1597, 0.1145), Al at (0.0000, 0.2547, 0.5303), Al at (0.1475, 0.5519, 0.2500), Al at (0.1576, 0.3942, 0.6635), Al at (0.2470, 0.4941, 0.0000), Al at (0.3333, 0.6667, 0.1255), Mo at (0.0000, 0.0000, 0.0000) and Mo at (0.0000, 0.2710, 0.2500).